# 1
Entry from the Alexandria database: PaCdGaAg after structural relaxation (PBE-GGA).

Unit cell a=6.9892 b=6.9892 c=6.9892 alpha=90.00 beta=90.00 gamma=90.00
Closest atoms and distances in Å follow each position.
Space group F-43m (No. 216)
Asymmetric unit:
Pa 0.0000 0.0000 0.0000  4 Ag 3.03, 4 Ga 3.03
Cd 0.0000 0.0000 0.5000  4 Ga 3.03, 4 Ag 3.03
Ga 0.2500 0.2500 0.7500  4 Cd 3.03, 4 Pa 3.03
Ag 0.2500 0.2500 0.2500  4 Cd 3.03, 4 Pa 3.03

Properties
Crystal system   cubic
Total magnetization   0.02 μB per cell
Calculated formation energy   0 kJ/mol of atoms

---

# 2
Entry from the Alexandria database: CdGaAgPd after structural relaxation (PBE-GGA).

Unit cell a=6.5083 b=6.5083 c=6.5083 alpha=90.00 beta=90.00 gamma=90.00
Closest atoms and distances in Å follow each position.
Space group F-43m (No. 216)
Asymmetric unit:
Cd 0.0000 0.0000 0.0000  4 Pd 2.82, 4 Ag 2.82
Ga 0.0000 0.0000 0.5000  4 Pd 2.82, 4 Ag 2.82
Ag 0.2500 0.2500 0.7500  4 Cd 2.82, 4 Ga 2.82
Pd 0.2500 0.2500 0.2500  4 Cd 2.82, 4 Ga 2.82

Properties
Crystal system   cubic
Total magnetization   0.00 μB per cell
Calculated formation energy   -20 kJ/mol of atoms

---

# 3
Entry from the Alexandria database: Cd2Ga2AgPd5 after structural relaxation (PBE-GGA).

Unit cell a=9.5069 b=9.5069 c=3.7749 alpha=90.00 beta=90.00 gamma=90.00
Closest atoms and distances in Å follow each position.
Space group P4/mbm (No. 127)
Asymmetric unit:
Cd 0.1723 0.3277 0.0000  3 Ga 2.69-2.88, 2 Pd 2.99
Ga 0.1273 0.6273 0.0000  6 Pd 2.53-2.55, 1 Cd 2.69
Ag 0.0000 0.0000 0.0000  8 Pd 2.80
Pd 0.0000 0.5000 0.5000  4 Ga 2.55
Pd 0.0774 0.7973 0.5000  2 Ga 2.53, 2 Ag 2.80

Properties
Crystal system   tetragonal
Total magnetization   0.00 μB per cell
Calculated formation energy   -34 kJ/mol of atoms

---

> calculated formation energy of number 1 (PaCdGaAg)?

0 kJ/mol of atoms